The following is a DFT calculation (PBE) of NaLuCo after structural relaxation. Values from VASP.

Geometry as Quantum ESPRESSO input:
```
&SYSTEM
  ibrav = 0, nat = 3, ntyp = 3
/
ATOMIC_SPECIES
Na 22.99 Na.upf
Lu 174.97 Lu.upf
Co 58.93 Co.upf
ATOMIC_POSITIONS crystal
Na 0.000 0.000 0.000
Lu 0.500 0.500 0.500
Co 0.750 0.750 0.750
CELL_PARAMETERS angstrom
0.000 3.235 3.235
3.235 0.000 3.235
3.235 3.235 0.000
```

Summary:
The calculated density comes out at 6297 kg/m³. The calculation puts the energy above the lowest structure with this stoichiometry at 0.00 eV per formula unit. Its total magnetization is 0.35 μB/f.u. The space group is No. 216.



The following is a DFT calculation (PBE) of RbFeCoSe3 after structural relaxation. Values from VASP.

Geometry as Quantum ESPRESSO input:
```
&SYSTEM
  ibrav = 0, nat = 12, ntyp = 4
/
ATOMIC_SPECIES
Rb 85.47 Rb.upf
Fe 55.84 Fe.upf
Co 58.93 Co.upf
Se 78.96 Se.upf
ATOMIC_POSITIONS crystal
Rb 0.019 0.250 0.255
Rb 0.981 0.750 0.745
Fe 0.476 0.250 0.167
Fe 0.524 0.750 0.833
Co 0.481 0.750 0.394
Co 0.519 0.250 0.606
Se 0.277 0.750 0.140
Se 0.336 0.750 0.558
Se 0.358 0.250 0.874
Se 0.642 0.750 0.126
Se 0.664 0.250 0.442
Se 0.723 0.250 0.860
CELL_PARAMETERS angstrom
8.713 0.000 0.000
0.000 3.620 0.000
-4.102 0.000 8.441
```

Summary:
The calculated density comes out at 5453 kg/m³. Its total magnetization is 0.34 μB/f.u. The space group is No. 11.



The following is a DFT calculation (PBE) of Pr3ReN5 after structural relaxation. Values from VASP.

Geometry as Quantum ESPRESSO input:
```
&SYSTEM
  ibrav = 0, nat = 18, ntyp = 3
/
ATOMIC_SPECIES
Pr 140.91 Pr.upf
Re 186.21 Re.upf
N 14.01 N.upf
ATOMIC_POSITIONS crystal
Pr 0.172 0.672 0.844
Pr 0.250 0.250 0.000
Pr 0.328 0.172 0.500
Pr 0.672 0.828 0.500
Pr 0.750 0.750 0.000
Pr 0.828 0.328 0.156
Re 0.250 0.750 0.500
Re 0.750 0.250 0.500
N 0.000 0.000 0.000
N 0.001 0.800 0.500
N 0.200 0.700 0.201
N 0.300 0.501 0.500
N 0.499 0.999 0.799
N 0.500 0.500 0.000
N 0.501 0.001 0.201
N 0.700 0.499 0.500
N 0.800 0.300 0.799
N 0.999 0.200 0.500
CELL_PARAMETERS angstrom
-3.411 3.411 5.806
3.411 -3.411 5.806
3.411 3.411 -5.806
```

Summary:
The calculated density comes out at 8343 kg/m³. Its total magnetization is 0.00 μB/f.u. The space group is No. 140.



The following is a DFT calculation (PBE) of Zr4P3W2N3 after structural relaxation. Values from VASP.

Geometry as Quantum ESPRESSO input:
```
&SYSTEM
  ibrav = 0, nat = 24, ntyp = 4
/
ATOMIC_SPECIES
Zr 91.22 Zr.upf
P 30.97 P.upf
W 183.84 W.upf
N 14.01 N.upf
ATOMIC_POSITIONS crystal
Zr 0.026 0.210 0.104
Zr 0.143 0.296 0.396
Zr 0.210 0.026 0.604
Zr 0.296 0.143 0.896
Zr 0.704 0.857 0.104
Zr 0.790 0.974 0.396
Zr 0.857 0.704 0.604
Zr 0.974 0.790 0.896
P 0.120 0.880 0.250
P 0.282 0.419 0.749
P 0.419 0.282 0.249
P 0.581 0.718 0.751
P 0.718 0.581 0.251
P 0.880 0.120 0.750
W 0.379 0.529 0.091
W 0.471 0.621 0.409
W 0.529 0.379 0.591
W 0.621 0.471 0.909
N 0.000 0.500 0.000
N 0.152 0.673 0.500
N 0.327 0.848 0.000
N 0.500 0.000 0.500
N 0.673 0.152 0.000
N 0.848 0.327 0.500
CELL_PARAMETERS angstrom
5.003 -2.897 0.000
5.003 2.897 0.000
-3.260 0.000 11.764
```

Summary:
The calculated density comes out at 8448 kg/m³. Its total magnetization is 0.01 μB/f.u. The space group is No. 15.



The following is a DFT calculation (PBE) of TaCoNiPb after structural relaxation. Values from VASP.

Geometry as Quantum ESPRESSO input:
```
&SYSTEM
  ibrav = 0, nat = 4, ntyp = 4
/
ATOMIC_SPECIES
Ta 180.95 Ta.upf
Co 58.93 Co.upf
Ni 58.69 Ni.upf
Pb 207.20 Pb.upf
ATOMIC_POSITIONS crystal
Ta 0.000 0.000 0.000
Co 0.750 0.750 0.750
Ni 0.500 0.500 0.500
Pb 0.250 0.250 0.250
CELL_PARAMETERS angstrom
0.000 3.166 3.166
3.166 0.000 3.166
3.166 3.166 0.000
```

Summary:
The calculated density comes out at 13237 kg/m³. The calculation puts the energy above the lowest structure with this stoichiometry at 1.23 eV per formula unit. Its total magnetization is 0.21 μB/f.u. The space group is No. 216.



The following is a DFT calculation (PBE) of YNb2Mo after structural relaxation. Values from VASP.

Geometry as Quantum ESPRESSO input:
```
&SYSTEM
  ibrav = 0, nat = 4, ntyp = 3
/
ATOMIC_SPECIES
Y 88.91 Y.upf
Nb 92.91 Nb.upf
Mo 95.94 Mo.upf
ATOMIC_POSITIONS crystal
Y 0.000 0.000 0.000
Nb 0.500 0.500 0.500
Nb 0.750 0.750 0.750
Mo 0.250 0.250 0.250
CELL_PARAMETERS angstrom
0.000 3.391 3.391
3.391 0.000 3.391
3.391 3.391 0.000
```

Summary:
As for the calculated formation energy: 359 meV per atom. The calculated density comes out at 7893 kg/m³. Its total magnetization is 0.04 μB/f.u. The space group is No. 216.



For reference, DFT total energy by record: -0.2751 -0.3631 -0.6287 -0.6923 -0.4826 -0.6627 Ry per atom.